# 1
In5Ag3 GGA-PBE relaxed; space-group type = P4/ncc
1.0
7.251 0.000 0.000
0.000 7.251 0.000
0.000 0.000 14.358
In Ag
20 12
Direct
0.827 0.852 0.596 In
0.173 0.852 0.096 In
0.148 0.827 0.404 In
0.000 0.500 0.717 In
0.852 0.173 0.404 In
0.673 0.648 0.404 In
0.648 0.327 0.596 In
0.352 0.673 0.596 In
0.000 0.500 0.217 In
0.648 0.673 0.096 In
0.673 0.352 0.904 In
0.852 0.827 0.904 In
0.327 0.352 0.404 In
0.173 0.148 0.596 In
0.827 0.148 0.096 In
0.327 0.648 0.904 In
0.352 0.327 0.096 In
0.500 0.000 0.283 In
0.148 0.173 0.904 In
0.500 0.000 0.783 In
0.639 0.361 0.250 Ag
0.139 0.861 0.750 Ag
0.361 0.361 0.750 Ag
0.361 0.639 0.250 Ag
0.861 0.861 0.250 Ag
0.639 0.639 0.750 Ag
0.000 0.500 0.508 Ag
0.861 0.139 0.750 Ag
0.500 0.000 0.492 Ag
0.500 0.000 0.992 Ag
0.139 0.139 0.250 Ag
0.000 0.500 0.008 Ag



# 2
InAg GGA-PBE relaxed; space-group type = P2_1/m
1.0
4.522 0.000 0.000
0.000 3.529 0.115
0.000 1.921 5.534
Ag In
2 2
Direct
0.750 0.578 0.338 Ag
0.250 0.422 0.662 Ag
0.750 0.831 0.806 In
0.250 0.169 0.194 In



# 3
In5Ag24 GGA-PBE relaxed; space-group type = I-43m
1.0
-3.025 -0.095 -8.441
-5.081 -5.387 5.057
-0.385 8.360 3.219
Ag In
24 5
Direct
0.000 0.619 0.808 Ag
0.000 0.808 0.619 Ag
0.811 0.192 0.192 Ag
0.189 0.381 0.381 Ag
0.192 0.811 0.192 Ag
0.381 0.189 0.381 Ag
0.808 0.000 0.619 Ag
0.619 0.000 0.808 Ag
0.808 0.619 0.000 Ag
0.619 0.808 0.000 Ag
0.381 0.381 0.189 Ag
0.192 0.192 0.811 Ag
0.000 0.585 0.314 Ag
0.000 0.314 0.585 Ag
0.272 0.686 0.686 Ag
0.728 0.415 0.415 Ag
0.686 0.272 0.686 Ag
0.415 0.728 0.415 Ag
0.314 0.000 0.585 Ag
0.585 0.000 0.314 Ag
0.314 0.585 0.000 Ag
0.585 0.314 0.000 Ag
0.415 0.415 0.728 Ag
0.686 0.686 0.272 Ag
0.000 0.363 0.000 In
0.000 0.000 0.363 In
0.363 0.000 0.000 In
0.637 0.637 0.637 In
0.000 0.000 0.000 In



# 4
In3Ag GGA-PBE relaxed; space-group type = P6_3/mmc
1.0
5.048 0.000 0.000
0.000 6.707 0.002
0.000 3.355 5.807
Ag In
2 6
Direct
0.250 0.333 0.333 Ag
0.750 0.667 0.667 Ag
0.750 0.655 0.173 In
0.750 0.173 0.173 In
0.750 0.173 0.655 In
0.250 0.345 0.827 In
0.250 0.827 0.827 In
0.250 0.827 0.345 In



# 5
In2Ag GGA-PBE relaxed; space-group type = Cm
1.0
1.566 5.555 0.004
-1.566 5.555 0.004
0.000 1.475 8.143
In Ag
4 2
Direct
0.402 0.402 0.288 In
0.361 0.361 0.693 In
0.124 0.124 0.425 In
0.691 0.691 0.060 In
0.963 0.963 0.972 Ag
0.626 0.626 0.728 Ag



# 6
InAg GGA-PBE relaxed; space-group type = Fd-3m
1.0
4.985 0.000 0.000
2.493 4.317 0.000
2.493 1.439 4.071
Ag In
2 2
Direct
0.000 0.000 0.000 Ag
0.250 0.250 0.250 Ag
0.500 0.500 0.500 In
0.750 0.750 0.750 In



# 7
In2Ag3 GGA-PBE relaxed; space-group type = Cmce
1.0
-0.751 -3.251 -4.553
4.691 2.858 0.685
3.227 -6.237 3.921
In Ag
4 6
Direct
0.121 0.241 0.618 In
0.879 0.759 0.382 In
0.379 0.759 0.118 In
0.621 0.241 0.882 In
0.500 0.000 0.500 Ag
0.000 0.000 0.000 Ag
0.606 0.711 0.750 Ag
0.894 0.289 0.250 Ag
0.106 0.711 0.750 Ag
0.394 0.289 0.250 Ag



# 8
In2Ag GGA-PBE relaxed; space-group type = Pa-3
1.0
-4.849 -4.408 1.983
4.643 -5.029 0.176
1.344 1.469 6.551
Ag In
4 8
Direct
0.000 0.000 0.000 Ag
0.500 0.500 0.000 Ag
0.500 0.000 0.500 Ag
0.000 0.500 0.500 Ag
0.637 0.637 0.363 In
0.363 0.363 0.637 In
0.137 0.863 0.637 In
0.863 0.137 0.363 In
0.363 0.137 0.137 In
0.637 0.863 0.863 In
0.863 0.363 0.863 In
0.137 0.637 0.137 In



# 9
InAg GGA-PBE relaxed; space-group type = Pmmn
1.0
3.212 0.000 0.000
0.000 5.172 0.000
0.000 0.000 5.099
Ag In
2 2
Direct
0.000 0.000 0.016 Ag
0.500 0.500 0.817 Ag
0.500 0.000 0.524 In
0.000 0.500 0.309 In



# 10
In3Ag GGA-PBE relaxed; space-group type = P-6m2
1.0
3.351 0.000 0.000
-1.675 2.902 0.000
0.000 0.000 10.062
Ag In
1 3
Direct
0.000 0.000 0.000 Ag
0.000 0.000 0.500 In
0.667 0.333 0.227 In
0.667 0.333 0.773 In



# 11
In3Ag GGA-PBE relaxed; space-group type = C2/m
1.0
5.752 0.148 0.093
4.831 3.124 0.093
1.369 0.423 5.640
Ag In
1 3
Direct
0.000 0.000 0.000 Ag
0.500 0.500 0.500 In
0.270 0.270 0.236 In
0.730 0.730 0.764 In



# 12
InAg GGA-PBE relaxed; space-group type = Amm2
1.0
-3.107 0.550 -0.038
-1.995 -10.767 7.381
0.574 3.613 5.425
In Ag
6 6
Direct
0.000 0.294 0.745 In
0.000 0.706 0.745 In
0.000 0.794 0.245 In
0.000 0.206 0.245 In
0.000 0.000 0.918 In
0.000 0.500 0.418 In
0.500 0.878 0.624 Ag
0.500 0.122 0.624 Ag
0.500 0.378 0.124 Ag
0.500 0.622 0.124 Ag
0.000 0.000 0.346 Ag
0.000 0.500 0.846 Ag



# 13
InAg GGA-PBE relaxed; space-group type = C2/c
1.0
-0.014 5.307 0.888
-4.150 2.346 -2.502
0.316 -4.268 3.349
Ag In
2 2
Direct
0.000 0.000 0.000 Ag
0.250 0.750 0.500 Ag
0.500 0.500 0.000 In
0.750 0.250 0.500 In



# 14
InAg GGA-PBE relaxed; space-group type = Pbcm
1.0
6.047 0.000 0.000
0.000 8.470 0.000
0.000 0.000 10.251
Ag In
12 12
Direct
0.250 0.075 0.129 Ag
0.750 0.925 0.871 Ag
0.250 0.575 0.871 Ag
0.750 0.425 0.129 Ag
0.250 0.532 0.453 Ag
0.750 0.468 0.547 Ag
0.250 0.032 0.547 Ag
0.750 0.968 0.453 Ag
0.000 0.750 0.065 Ag
0.500 0.250 0.935 Ag
0.000 0.250 0.935 Ag
0.500 0.750 0.065 Ag
0.250 0.456 0.144 In
0.750 0.544 0.856 In
0.250 0.956 0.856 In
0.750 0.044 0.144 In
0.250 0.831 0.318 In
0.750 0.169 0.682 In
0.250 0.331 0.682 In
0.750 0.669 0.318 In
0.000 0.750 0.635 In
0.500 0.250 0.365 In
0.000 0.250 0.365 In
0.500 0.750 0.635 In



# 15
In5Ag3 GGA-PBE relaxed; space-group type = P6_3/mcm
1.0
-7.536 -2.722 3.053
3.778 -4.193 -6.455
2.800 -3.421 3.860
Ag In
6 10
Direct
0.000 0.409 0.250 Ag
0.000 0.591 0.750 Ag
0.591 0.591 0.250 Ag
0.409 0.000 0.250 Ag
0.591 0.000 0.750 Ag
0.409 0.409 0.750 Ag
0.667 0.333 0.000 In
0.333 0.667 0.500 In
0.333 0.667 0.000 In
0.667 0.333 0.500 In
0.000 0.766 0.250 In
0.000 0.234 0.750 In
0.234 0.234 0.250 In
0.766 0.000 0.250 In
0.234 0.000 0.750 In
0.766 0.766 0.750 In



# 16
In3Ag GGA-PBE relaxed; space-group type = Pm-3n
1.0
-1.893 5.085 2.119
-3.433 0.664 -4.659
-4.309 -2.763 2.781
In Ag
6 2
Direct
0.750 0.500 0.000 In
0.250 0.500 0.000 In
0.000 0.750 0.500 In
0.000 0.250 0.500 In
0.500 0.000 0.250 In
0.500 0.000 0.750 In
0.000 0.000 0.000 Ag
0.500 0.500 0.500 Ag



# 17
InAg GGA-PBE relaxed; space-group type = P2_13
1.0
5.559 0.000 0.000
0.000 5.559 0.000
0.000 0.000 5.559
In Ag
4 4
Direct
0.403 0.903 0.597 In
0.097 0.097 0.097 In
0.597 0.403 0.903 In
0.903 0.597 0.403 In
0.101 0.601 0.899 Ag
0.399 0.399 0.399 Ag
0.899 0.101 0.601 Ag
0.601 0.899 0.101 Ag



# 18
In3Ag5 GGA-PBE relaxed; space-group type = P6_3/mcm
1.0
8.424 0.000 0.000
-4.212 7.295 0.000
0.000 0.000 5.414
Ag In
10 6
Direct
0.333 0.667 0.000 Ag
0.667 0.333 0.500 Ag
0.667 0.333 0.000 Ag
0.333 0.667 0.500 Ag
0.203 0.000 0.250 Ag
0.797 0.000 0.750 Ag
0.000 0.203 0.250 Ag
0.797 0.797 0.250 Ag
0.203 0.203 0.750 Ag
0.000 0.797 0.750 Ag
0.603 0.000 0.250 In
0.397 0.000 0.750 In
0.000 0.603 0.250 In
0.397 0.397 0.250 In
0.603 0.603 0.750 In
0.000 0.397 0.750 In



# 19
In3Ag GGA-PBE relaxed; space-group type = R-3m
1.0
5.918 0.005 0.015
-2.641 5.296 0.015
-2.641 -4.272 3.130
Ag In
1 3
Direct
0.000 0.000 0.000 Ag
0.500 0.000 0.500 In
0.500 0.500 0.000 In
0.000 0.500 0.500 In



# 20
In6Ag GGA-PBE relaxed; space-group type = Cmcm
1.0
-4.722 -1.177 3.160
4.228 -1.770 3.559
0.468 10.062 4.447
In Ag
12 2
Direct
0.317 0.683 0.000 In
0.683 0.317 0.500 In
0.683 0.317 0.000 In
0.317 0.683 0.500 In
0.145 0.145 0.897 In
0.855 0.855 0.397 In
0.145 0.145 0.603 In
0.855 0.855 0.103 In
0.627 0.002 0.750 In
0.373 0.998 0.250 In
0.002 0.627 0.750 In
0.998 0.373 0.250 In
0.491 0.491 0.750 Ag
0.509 0.509 0.250 Ag



# 21
In3Ag GGA-PBE relaxed; space-group type = Cmmm
1.0
-5.080 1.359 -2.266
0.487 -5.566 1.251
-1.161 0.559 2.939
Ag In
1 3
Direct
0.000 0.000 0.000 Ag
0.000 0.500 0.500 In
0.500 0.000 0.500 In
0.500 0.500 0.000 In



# 22
InAg5 GGA-PBE relaxed; space-group type = F-43m
1.0
-2.396 2.703 4.209
-4.647 2.904 -0.856
-4.818 -1.804 2.071
In Ag
1 5
Direct
0.000 0.000 0.000 In
0.250 0.250 0.250 Ag
0.625 0.625 0.625 Ag
0.625 0.625 0.126 Ag
0.126 0.625 0.625 Ag
0.625 0.126 0.625 Ag



The calculation returns the following ΔE_f values, one per record and in order: 0.0384, 0.0023, 0.0464, 0.0648, 0.0219, 0.1082, 0.0519, 0.0967, 0.0097, 0.0466, 0.0491, 0.0405, 0.0279, 0.0378, 0.0441, 0.0905, 0.0340, 0.0652, 0.0893, 0.0391, 0.0637, 0.1109 eV per atom.
The calculation returns the following Fermi-level density of states values, one per record and in order: 0.43, 0.29, 0.37, 0.40, 0.39, 0.50, 0.31, 0.42, 0.21, 0.53, 0.39, 0.32, 0.21, 0.30, 0.32, 0.55, 0.46, 0.38, 0.33, 0.39, 0.44, 0.71 states/eV per atom.